# Mg2RuBr

Crystalline Mg2RuBr at its relaxed geometry (PBE, Alexandria).

CIF file:
```
data_Mg2RuBr
_space_group_name_H-M_alt 'P 1'
_space_group_IT_number 1
_cell_length_a 4.775
_cell_length_b 4.775
_cell_length_c 4.775
_cell_angle_alpha 60.00
_cell_angle_beta 60.00
_cell_angle_gamma 60.00
loop_
_space_group_symop_operation_xyz
'x,y,z'
loop_
_atom_site_label
_atom_site_type_symbol
_atom_site_fract_x
_atom_site_fract_y
_atom_site_fract_z
Mg1 Mg 0.250 0.250 0.250
Mg2 Mg 0.750 0.750 0.750
Ru1 Ru 0.500 0.500 0.500
Br1 Br 0.000 0.000 0.000
```

Properties
The calculation puts the energy relative to the lowest polymorph listed for this composition at 583.6 meV per atom. The value obtained for the formation energy (no corrections) is 0.36 eV/atom.

=====

# Th3Ga6Pt5

Crystalline Th3Ga6Pt5 at its relaxed geometry (PBE, Alexandria).

CIF file:
```
data_Th3Ga6Pt5
_space_group_name_H-M_alt 'P 1'
_space_group_IT_number 1
_cell_length_a 4.313
_cell_length_b 9.654
_cell_length_c 12.966
_cell_angle_alpha 90.00
_cell_angle_beta 90.00
_cell_angle_gamma 90.00
loop_
_space_group_symop_operation_xyz
'x,y,z'
loop_
_atom_site_label
_atom_site_type_symbol
_atom_site_fract_x
_atom_site_fract_y
_atom_site_fract_z
Th1 Th 0.500 0.755 0.192
Th2 Th 0.500 0.750 0.500
Th3 Th 0.500 0.755 0.808
Th4 Th 0.000 0.250 0.000
Th5 Th 0.000 0.245 0.308
Th6 Th 0.000 0.245 0.692
Ga1 Ga 0.000 0.983 0.154
Ga2 Ga 0.500 0.017 0.346
Ga3 Ga 0.000 0.440 0.500
Ga4 Ga 0.000 0.035 0.500
Ga5 Ga 0.500 0.017 0.654
Ga6 Ga 0.000 0.983 0.846
Ga7 Ga 0.500 0.407 0.819
Ga8 Ga 0.000 0.593 0.319
Ga9 Ga 0.500 0.407 0.181
Ga10 Ga 0.500 0.560 0.000
Ga11 Ga 0.500 0.965 0.000
Ga12 Ga 0.000 0.593 0.681
Pt1 Pt 0.000 0.536 0.884
Pt2 Pt 0.500 0.139 0.155
Pt3 Pt 0.500 0.464 0.384
Pt4 Pt 0.000 0.861 0.345
Pt5 Pt 0.000 0.797 0.000
Pt6 Pt 0.500 0.464 0.616
Pt7 Pt 0.000 0.536 0.116
Pt8 Pt 0.500 0.203 0.500
Pt9 Pt 0.000 0.861 0.655
Pt10 Pt 0.500 0.139 0.845
```

Properties
The value obtained for the energy relative to the elements is -0.94 eV per atom.

=====

# Tb2YTm2

Crystalline Tb2YTm2 at its relaxed geometry (PBE, Alexandria).

CIF file:
```
data_Tb2YTm2
_space_group_name_H-M_alt 'P 1'
_space_group_IT_number 1
_cell_length_a 5.908
_cell_length_b 5.909
_cell_length_c 6.334
_cell_angle_alpha 117.80
_cell_angle_beta 117.80
_cell_angle_gamma 90.00
loop_
_space_group_symop_operation_xyz
'x,y,z'
loop_
_atom_site_label
_atom_site_type_symbol
_atom_site_fract_x
_atom_site_fract_y
_atom_site_fract_z
Y1 Y 0.000 0.000 0.000
Tb1 Tb 0.250 0.750 0.500
Tb2 Tb 0.750 0.250 0.500
Tm1 Tm 0.649 0.649 0.299
Tm2 Tm 0.351 0.351 0.701
```

Properties
The calculation puts the energy relative to the lowest polymorph listed for this composition at 455.4 meV per atom. The value obtained for the energy relative to the elements is 0.53 eV per atom.

=====

# Er10Sn4C3

Crystalline Er10Sn4C3 at its relaxed geometry (PBE, Alexandria).

CIF file:
```
data_Er10Sn4C3
_space_group_name_H-M_alt 'P 1'
_space_group_IT_number 1
_cell_length_a 4.809
_cell_length_b 4.809
_cell_length_c 17.803
_cell_angle_alpha 97.76
_cell_angle_beta 97.76
_cell_angle_gamma 90.00
loop_
_space_group_symop_operation_xyz
'x,y,z'
loop_
_atom_site_label
_atom_site_type_symbol
_atom_site_fract_x
_atom_site_fract_y
_atom_site_fract_z
Er1 Er 0.862 0.362 0.724
Er2 Er 0.138 0.638 0.276
Er3 Er 0.791 0.791 0.581
Er4 Er 0.069 0.069 0.139
Er5 Er 0.000 0.500 0.000
Er6 Er 0.209 0.209 0.419
Er7 Er 0.638 0.138 0.276
Er8 Er 0.500 0.000 0.000
Er9 Er 0.931 0.931 0.861
Er10 Er 0.362 0.862 0.724
C1 C 0.140 0.140 0.279
C2 C 0.860 0.860 0.721
C3 C 0.000 0.000 0.000
Sn1 Sn 0.700 0.700 0.400
Sn2 Sn 0.431 0.431 0.863
Sn3 Sn 0.569 0.569 0.137
Sn4 Sn 0.300 0.300 0.600
```

Properties
The value obtained for the energy relative to the elements is -0.67 eV per atom.

=====

# NdSeIO4

Crystalline NdSeIO4 at its relaxed geometry (PBE, Alexandria).

CIF file:
```
data_NdSeIO4
_space_group_name_H-M_alt 'P 1'
_space_group_IT_number 1
_cell_length_a 6.540
_cell_length_b 6.540
_cell_length_c 7.056
_cell_angle_alpha 78.75
_cell_angle_beta 78.75
_cell_angle_gamma 67.90
loop_
_space_group_symop_operation_xyz
'x,y,z'
loop_
_atom_site_label
_atom_site_type_symbol
_atom_site_fract_x
_atom_site_fract_y
_atom_site_fract_z
O1 O 0.489 0.139 0.139
O2 O 0.511 0.861 0.861
O3 O 0.704 0.704 0.505
O4 O 0.479 0.479 0.776
O5 O 0.861 0.511 0.861
O6 O 0.521 0.521 0.224
O7 O 0.296 0.296 0.495
O8 O 0.139 0.489 0.139
Se1 Se 0.366 0.366 0.260
Se2 Se 0.634 0.634 0.740
Nd1 Nd 0.755 0.755 0.147
Nd2 Nd 0.245 0.245 0.853
I1 I 0.024 0.024 0.247
I2 I 0.976 0.976 0.753
```

Properties
The value obtained for the formation energy (no corrections) is -1.48 eV/atom.

=====

# Mg5H2Ir

Crystalline Mg5H2Ir at its relaxed geometry (PBE, Alexandria).

CIF file:
```
data_Mg5H2Ir
_space_group_name_H-M_alt 'P 1'
_space_group_IT_number 1
_cell_length_a 4.900
_cell_length_b 4.900
_cell_length_c 5.500
_cell_angle_alpha 86.02
_cell_angle_beta 94.00
_cell_angle_gamma 72.62
loop_
_space_group_symop_operation_xyz
'x,y,z'
loop_
_atom_site_label
_atom_site_type_symbol
_atom_site_fract_x
_atom_site_fract_y
_atom_site_fract_z
Ir1 Ir 0.009 0.778 0.492
Mg1 Mg 0.991 0.797 0.989
Mg2 Mg 0.824 0.338 0.272
Mg3 Mg 0.450 0.963 0.272
Mg4 Mg 0.565 0.600 0.726
Mg5 Mg 0.187 0.222 0.725
H1 H 0.502 0.284 0.994
H2 H 0.279 0.507 0.414
```

Properties
The calculation puts the energy relative to the lowest polymorph listed for this composition at 29.0 meV per atom.

=====

# SrTcAu2

Crystalline SrTcAu2 at its relaxed geometry (PBE, Alexandria).

CIF file:
```
data_SrTcAu2
_space_group_name_H-M_alt 'P 1'
_space_group_IT_number 1
_cell_length_a 4.620
_cell_length_b 4.620
_cell_length_c 6.087
_cell_angle_alpha 67.65
_cell_angle_beta 67.65
_cell_angle_gamma 60.00
loop_
_space_group_symop_operation_xyz
'x,y,z'
loop_
_atom_site_label
_atom_site_type_symbol
_atom_site_fract_x
_atom_site_fract_y
_atom_site_fract_z
Sr1 Sr 0.506 0.506 0.484
Au1 Au 0.980 0.980 0.061
Au2 Au 0.698 0.698 0.906
Tc1 Tc 0.317 0.317 0.049
```

Properties
The calculation puts the energy relative to the lowest polymorph listed for this composition at 46.5 meV per atom. The value obtained for the energy relative to the elements is 0.08 eV per atom.

=====

# SrZnSnSb3

Crystalline SrZnSnSb3 at its relaxed geometry (PBE, Alexandria).

CIF file:
```
data_SrZnSnSb3
_space_group_name_H-M_alt 'P 1'
_space_group_IT_number 1
_cell_length_a 4.316
_cell_length_b 9.429
_cell_length_c 9.926
_cell_angle_alpha 109.21
_cell_angle_beta 90.00
_cell_angle_gamma 90.00
loop_
_space_group_symop_operation_xyz
'x,y,z'
loop_
_atom_site_label
_atom_site_type_symbol
_atom_site_fract_x
_atom_site_fract_y
_atom_site_fract_z
Sn1 Sn 0.750 0.389 0.812
Sn2 Sn 0.250 0.611 0.188
Sb1 Sb 0.250 0.625 0.889
Sb2 Sb 0.250 0.776 0.508
Sb3 Sb 0.750 0.375 0.111
Sb4 Sb 0.250 0.158 0.863
Sb5 Sb 0.750 0.842 0.137
Sb6 Sb 0.750 0.224 0.492
Zn1 Zn 0.250 0.086 0.569
Zn2 Zn 0.750 0.914 0.431
Sr1 Sr 0.750 0.857 0.793
Sr2 Sr 0.250 0.143 0.207
```

Properties
The value obtained for the formation energy (no corrections) is -0.23 eV/atom.

=====

# ScGaSi2Ru

Crystalline ScGaSi2Ru at its relaxed geometry (PBE, Alexandria).

CIF file:
```
data_ScGaSi2Ru
_space_group_name_H-M_alt 'P 1'
_space_group_IT_number 1
_cell_length_a 4.845
_cell_length_b 4.934
_cell_length_c 4.845
_cell_angle_alpha 90.00
_cell_angle_beta 90.00
_cell_angle_gamma 90.00
loop_
_space_group_symop_operation_xyz
'x,y,z'
loop_
_atom_site_label
_atom_site_type_symbol
_atom_site_fract_x
_atom_site_fract_y
_atom_site_fract_z
Si1 Si 0.000 0.000 0.500
Si2 Si 0.500 0.000 0.000
Sc1 Sc 0.000 0.000 0.000
Ga1 Ga 0.000 0.500 0.000
Ru1 Ru 0.500 0.500 0.500
```

Properties
The value obtained for the formation energy (no corrections) is 1.40 eV/atom.

=====

# Zr2Np3ScN6

Crystalline Zr2Np3ScN6 at its relaxed geometry (PBE, Alexandria).

CIF file:
```
data_Zr2Np3ScN6
_space_group_name_H-M_alt 'P 1'
_space_group_IT_number 1
_cell_length_a 5.755
_cell_length_b 5.755
_cell_length_c 5.838
_cell_angle_alpha 99.45
_cell_angle_beta 99.45
_cell_angle_gamma 120.02
loop_
_space_group_symop_operation_xyz
'x,y,z'
loop_
_atom_site_label
_atom_site_type_symbol
_atom_site_fract_x
_atom_site_fract_y
_atom_site_fract_z
Np1 Np 0.500 0.500 0.500
Np2 Np 0.166 0.834 0.500
Np3 Np 0.834 0.166 0.500
N1 N 0.079 0.410 0.238
N2 N 0.748 0.748 0.238
N3 N 0.252 0.252 0.762
N4 N 0.921 0.590 0.762
N5 N 0.410 0.079 0.238
N6 N 0.590 0.921 0.762
Zr1 Zr 0.333 0.667 0.000
Zr2 Zr 0.667 0.333 0.000
Sc1 Sc 0.000 0.000 0.000
```

Properties
The value obtained for the formation energy (no corrections) is -1.45 eV/atom.